## SmPuAgO6 (PBE-GGA)

Data for SmPuAgO6 after structural relaxation.

Output
crystal system: trigonal

Cell lengths 5.557, 5.557, 10.132 Å; angles 90.00, 90.00, 120.00 degrees
Atoms (fractional coordinates):
Ag  0.333  0.667  0.250
Ag  0.667  0.333  0.750
O  0.636  0.676  0.635
O  0.324  0.364  0.865
O  0.960  0.636  0.365
O  0.676  0.040  0.365
O  0.040  0.676  0.865
O  0.364  0.040  0.135
O  0.960  0.324  0.135
O  0.636  0.960  0.865
O  0.324  0.960  0.635
O  0.676  0.636  0.135
O  0.040  0.364  0.635
O  0.364  0.324  0.365
Sm  0.000  0.000  0.000
Sm  0.000  0.000  0.500
Pu  0.333  0.667  0.750
Pu  0.667  0.333  0.250

=====

## SmPuAg2O8 (PBE-GGA)

Data for SmPuAg2O8 after structural relaxation.

Output
crystal system: tetragonal

Cell lengths 6.153, 6.153, 6.153 Å; angles 111.68, 111.68, 105.13 degrees
Atoms (fractional coordinates):
Sm  0.000  0.000  0.000
Ag  0.500  0.500  0.000
Ag  0.750  0.250  0.500
O  0.508  0.725  0.783
O  0.970  0.639  0.669
O  0.699  0.030  0.669
O  0.942  0.725  0.217
O  0.275  0.492  0.217
O  0.970  0.301  0.331
O  0.361  0.030  0.331
O  0.275  0.058  0.783
Pu  0.250  0.750  0.500

=====

Result set for formation energy without anion corrections: -2.062, -1.305 eV per atom, one per record in the order listed.
Result set for total energy: -7.801, -6.673 eV per atom, one per record in the order listed.